## Hg5Pb (GGA-PBEsol)

Data for crystalline Hg5Pb at its relaxed geometry.

Computed properties:
DFT formation energy	15.7	meV/atom

Cell: 5.3387 3.3663 16.2676 Å, 90.00 90.00 90.00°
Last column: nearest neighbours and their distance in Å.
Space group Amm2 (No. 38)
Unique sites:
Hg: 0.0000 0.0000 0.0000 [2 per cell]  8 Hg 3.13-3.37, 4 Pb 3.27
Hg: 0.0000 0.0000 0.3256 [2 per cell]  10 Hg 3.14-3.37, 2 Pb 3.31
Hg: 0.0000 0.0000 0.6624 [2 per cell]  12 Hg 3.13-3.37
Hg: 0.5000 0.0000 0.1192 [2 per cell]  10 Hg 3.07-3.37, 2 Pb 3.28
Hg: 0.5000 0.0000 0.7769 [2 per cell]  10 Hg 3.07-3.37, 2 Pb 3.23
Pb: 0.5000 0.0000 0.4462 [2 per cell]  10 Hg 3.23-3.31, 2 Pb 3.37

***

## SrPr3Fe4O12 (GGA-PBEsol)

Data for crystalline SrPr3Fe4O12 at its relaxed geometry.

Computed properties:
formation energy without anion corrections	-4481	kJ/mol of formula units

Cell: 5.3489 7.5629 5.4175 Å, 90.00 90.10 90.00°
Last column: nearest neighbours and their distance in Å.
Space group Pm (No. 6)
Unique sites:
Sr: 0.0000 0.0000 0.0000 [1 per cell]  7 O 2.50-2.71
Pr: 0.4871 0.5000 0.5057 [1 per cell]  6 O 2.41-2.62
Pr: 0.5029 0.0000 0.5082 [1 per cell]  6 O 2.43-2.61
Pr: 0.9870 0.5000 0.0086 [1 per cell]  6 O 2.42-2.67
Fe: 0.4943 0.2482 0.0027 [2 per cell]  6 O 1.90-1.93
Fe: 0.9949 0.2478 0.5043 [2 per cell]  6 O 1.89-1.93
O: 0.0007 0.5000 0.5620 [1 per cell]  2 Fe 1.93
O: 0.2385 0.2818 0.2479 [2 per cell]  2 Fe 1.92-1.93
O: 0.2584 0.2253 0.7394 [2 per cell]  2 Fe 1.91
O: 0.4919 0.5000 0.9513 [1 per cell]  2 Fe 1.92
O: 0.4973 0.0000 0.0601 [1 per cell]  2 Fe 1.90
O: 0.7373 0.2841 0.2609 [2 per cell]  2 Fe 1.92-1.93
O: 0.7454 0.2298 0.7539 [2 per cell]  2 Fe 1.91
O: 0.9885 0.0000 0.4612 [1 per cell]  2 Fe 1.89

***

## Nd3Er (GGA-PBEsol)

Data for crystalline Nd3Er at its relaxed geometry.

Computed properties:
DFT formation energy	26.8	meV/atom

Cell: 7.1767 7.1767 5.7582 Å, 90.00 90.00 120.00°
Last column: nearest neighbours and their distance in Å.
Space group P6_3/mmc (No. 194)
Unique sites:
Nd: 0.1673 0.3346 0.2500 [6 per cell]  4 Er 3.54-3.59, 8 Nd 3.55-3.60
Er: 0.3333 0.6667 0.7500 [2 per cell]  12 Nd 3.54-3.59

***

## GaCoTe2 (GGA-PBEsol)

Data for crystalline GaCoTe2 at its relaxed geometry.

Computed properties:
formation energy without anion corrections	8	kJ/mol of formula units

Cell: 3.6176 3.6176 26.2188 Å, 90.00 90.00 120.00°
Last column: nearest neighbours and their distance in Å.
Space group R-3m (No. 166, hexagonal axes)
Unique sites:
Ga: 0.0000 0.0000 0.0000 [3 per cell]  2 Te 3.01
Co: 0.0000 0.0000 0.5000 [3 per cell]  6 Te 2.49
Te: 0.0000 0.0000 0.1148 [6 per cell]  3 Co 2.49

***

## BaBeO3 (GGA-PBEsol)

Data for crystalline BaBeO3 at its relaxed geometry.

Computed properties:
formation energy without anion corrections	204	kJ/mol of formula units

Cell: 4.5001 4.5001 4.5001 Å, 90.00 90.00 90.00°
Last column: nearest neighbours and their distance in Å.
Space group Pm-3m (No. 221)
Unique sites:
Ba: 0.0000 0.0000 0.0000 [1 per cell]  6 O 2.25
Be: 0.5000 0.5000 0.5000 [1 per cell]  12 O 3.18
O: 0.0000 0.0000 0.5000 [3 per cell]  2 Ba 2.25

***

## TiBe (GGA-PBEsol)

Data for crystalline TiBe at its relaxed geometry.

Computed properties:
DFT formation energy	-138.6	meV/atom

Cell: 2.9053 2.9053 2.9053 Å, 90.00 90.00 90.00°
Last column: nearest neighbours and their distance in Å.
Space group Pm-3m (No. 221)
Unique sites:
Ti: 0.0000 0.0000 0.0000 [1 per cell]  8 Be 2.52
Be: 0.5000 0.5000 0.5000 [1 per cell]  8 Ti 2.52

***

## Fe3Co (GGA-PBEsol)

Data for crystalline Fe3Co at its relaxed geometry.

Computed properties:
DFT formation energy	35.9	meV/atom

Cell: 2.4186 3.9487 9.1638 Å, 90.00 94.92 90.00°
Last column: nearest neighbours and their distance in Å.
Space group P2_1/m (No. 11)
Unique sites:
Fe: 0.0537 0.2500 0.1881 [2 per cell]  1 Co 2.40, 7 Fe 2.41-2.44
Fe: 0.3133 0.2500 0.9363 [2 per cell]  8 Fe 2.41-2.44
Fe: 0.4349 0.7500 0.3152 [2 per cell]  3 Co 2.40, 5 Fe 2.42-2.43
Co: 0.1977 0.7500 0.5638 [2 per cell]  4 Fe 2.40, 4 Co 2.42-2.45

***

## Zr2InTc (GGA-PBEsol)

Data for crystalline Zr2InTc at its relaxed geometry.

Computed properties:
DFT formation energy	-399.9	meV/atom

Cell: 3.3036 3.3036 7.0769 Å, 90.00 90.00 90.00°
Last column: nearest neighbours and their distance in Å.
Space group P4/mmm (No. 123)
Unique sites:
Zr: 0.0000 0.0000 0.2180 [2 per cell]  4 Tc 2.80, 4 In 3.07, 1 Zr 3.09
In: 0.5000 0.5000 0.5000 [1 per cell]  8 Zr 3.07, 4 In 3.30
Tc: 0.5000 0.5000 0.0000 [1 per cell]  8 Zr 2.80

***

## CoCu2Pt (GGA-PBEsol)

Data for crystalline CoCu2Pt at its relaxed geometry.

Computed properties:
DFT formation energy	79.3	meV/atom

Cell: 5.1314 7.2446 2.6415 Å, 90.00 90.00 90.00°
Last column: nearest neighbours and their distance in Å.
Space group Cmmm (No. 65)
Unique sites:
Co: 0.0000 0.0000 0.0000 [2 per cell]  2 Pt 2.57, 8 Cu 2.58, 2 Co 2.64
Cu: 0.2500 0.2500 0.5000 [4 per cell]  4 Cu 2.57-2.64, 4 Co 2.58, 4 Pt 2.58
Pt: 0.0000 0.5000 0.0000 [2 per cell]  2 Co 2.57, 8 Cu 2.58, 2 Pt 2.64

***

## La2MgPPb (GGA-PBEsol)

Data for crystalline La2MgPPb at its relaxed geometry.

Computed properties:
DFT formation energy	293.7	meV/atom

Cell: 6.0022 6.0022 4.9888 Å, 90.00 90.00 90.00°
Last column: nearest neighbours and their distance in Å.
Space group P4/mmm (No. 123)
Unique sites:
La: 0.0000 0.5000 0.0000 [2 per cell]  2 Pb 3.00
Mg: 0.0000 0.0000 0.5000 [1 per cell]  2 Pb 2.49
P: 0.5000 0.5000 0.5000 [1 per cell]  8 La 3.90, 4 Mg 4.24
Pb: 0.0000 0.0000 0.0000 [1 per cell]  2 Mg 2.49

***

Number 1: ρ 13.75 Mg/m³. Number 2: ρ 7.01 Mg/m³. Number 3: ρ 7.76 Mg/m³. Number 4: ρ 6.43 Mg/m³. Number 5: ρ 3.54 Mg/m³. Number 6: ρ 3.85 Mg/m³. Number 7: ρ 8.63 Mg/m³. Number 8: ρ 8.50 Mg/m³. Number 9: ρ 12.89 Mg/m³. Number 10: ρ 4.99 Mg/m³.